[1]
# GeH2Se

Crystalline GeH2Se at its relaxed geometry (PBE-GGA, Alexandria).

The value obtained for the calculated volume is 19.49 Å³ per atom. The value obtained for the total energy is -3.697 eV/atom. The value obtained for the total magnetic moment is 0.00 μB/cell.

It has space group P1 (No. 1), with a = 2.861 Å, b = 3.681 Å, c = 7.549 Å, α = 78.79°, β = 88.39° and γ = 89.69°. The distinct sites, in fractional coordinates, are Ge at (0.000, 0.000, 0.000), H at (0.420, 0.340, 0.407), H at (0.575, 0.249, 0.346) and Se at (0.014, 0.594, 0.764).

[2]
# Na2CaTlRh

Crystalline Na2CaTlRh at its relaxed geometry (PBE-GGA, Alexandria).

The value obtained for the calculated volume is 29.73 Å³ per atom. The value obtained for the total energy is -2.703 eV/atom. For the formation energy, the calculation gives 81 kJ/mol of formula units. The value obtained for the total magnetic moment is 0.00 μB/cell.

It has space group P4/mmm (No. 123), with a = 5.305 Å, b = 5.305 Å, c = 5.281 Å, α = 90.00°, β = 90.00° and γ = 90.00°. The distinct sites, in fractional coordinates, are Na at (0.000, 0.500, 0.000), Ca at (0.000, 0.000, 0.500), Tl at (0.500, 0.500, 0.500) and Rh at (0.500, 0.500, 0.000).

Please write out number 1 again, unchanged.
# GeH2Se

Crystalline GeH2Se at its relaxed geometry (PBE-GGA, Alexandria).

The value obtained for the calculated volume is 19.49 Å³ per atom. The value obtained for the total energy is -3.697 eV/atom. The value obtained for the total magnetic moment is 0.00 μB/cell.

It has space group P1 (No. 1), with a = 2.861 Å, b = 3.681 Å, c = 7.549 Å, α = 78.79°, β = 88.39° and γ = 89.69°. The distinct sites, in fractional coordinates, are Ge at (0.000, 0.000, 0.000), H at (0.420, 0.340, 0.407), H at (0.575, 0.249, 0.346) and Se at (0.014, 0.594, 0.764).